# 1
Here is a geometry-optimized BaHgSe structure from Alexandria via LeMat-Bulk. Energies are from GGA-PBEsol.

Uncorrected formation energy, eV/atom: -1.065
Symmetry: I4mm
Crystal system: tetragonal

a b c (Å): 4.2089 4.2089 10.1238
angles (deg): 90.00 90.00 90.00
Fractional coordinates of all 6 atoms:
Ba1 0.0000 0.0000 0.0000
Ba2 0.5000 0.5000 0.5000
Hg1 0.0000 0.0000 0.3188
Hg2 0.5000 0.5000 0.8188
Se1 0.0000 0.0000 0.6543
Se2 0.5000 0.5000 0.1543


# 2
Here is a geometry-optimized SnBIrN2 structure from Alexandria via LeMat-Bulk. Energies are from GGA-PBEsol.

Uncorrected formation energy, eV/atom: 1.398
Symmetry: P4/mmm
Crystal system: tetragonal

a b c (Å): 3.5702 3.5702 4.6559
angles (deg): 90.00 90.00 90.00
Fractional coordinates of all 5 atoms:
Sn1 0.0000 0.0000 0.0000
B1 0.5000 0.5000 0.5000
Ir1 0.5000 0.5000 0.0000
N1 0.0000 0.5000 0.5000
N2 0.5000 0.0000 0.5000


# 3
Here is a geometry-optimized Be2CdMo structure from Alexandria via LeMat-Bulk. Energies are from GGA-PBEsol.

Formation enthalpy at 0 K, eV/atom: 0.726
Symmetry: F-43m
Crystal system: cubic

a b c (Å): 6.0288 6.0288 6.0288
angles (deg): 90.00 90.00 90.00
Fractional coordinates of all 16 atoms:
Be1 0.0000 0.0000 0.0000
Be2 0.0000 0.5000 0.5000
Be3 0.2500 0.2500 0.2500
Be4 0.2500 0.7500 0.7500
Be5 0.5000 0.0000 0.5000
Be6 0.5000 0.5000 0.0000
Be7 0.7500 0.2500 0.7500
Be8 0.7500 0.7500 0.2500
Cd1 0.0000 0.0000 0.5000
Cd2 0.0000 0.5000 0.0000
Cd3 0.5000 0.0000 0.0000
Cd4 0.5000 0.5000 0.5000
Mo1 0.2500 0.2500 0.7500
Mo2 0.2500 0.7500 0.2500
Mo3 0.7500 0.2500 0.2500
Mo4 0.7500 0.7500 0.7500


# 4
Here is a geometry-optimized CrCdAs2Se structure from Alexandria via LeMat-Bulk. Energies are from GGA-PBEsol.

Uncorrected formation energy, eV/atom: 0.300
Symmetry: P4/mmm
Crystal system: tetragonal

a b c (Å): 4.5183 4.5183 5.1124
angles (deg): 90.00 90.00 90.00
Fractional coordinates of all 5 atoms:
Cr1 0.0000 0.0000 0.0000
Cd1 0.5000 0.5000 0.5000
As1 0.0000 0.5000 0.0000
As2 0.5000 0.0000 0.0000
Se1 0.0000 0.0000 0.5000


# 5
Here is a geometry-optimized HfMgBr3 structure from Alexandria via LeMat-Bulk. Energies are from GGA-PBEsol.

Uncorrected formation energy, eV/atom: -0.550
Symmetry: Pm-3m
Crystal system: cubic

a b c (Å): 5.2232 5.2232 5.2232
angles (deg): 90.00 90.00 90.00
Fractional coordinates of all 5 atoms:
Hf1 0.0000 0.0000 0.0000
Mg1 0.5000 0.5000 0.5000
Br1 0.0000 0.0000 0.5000
Br2 0.0000 0.5000 0.0000
Br3 0.5000 0.0000 0.0000


# 6
Here is a geometry-optimized KHgPt structure from Alexandria via LeMat-Bulk. Energies are from GGA-PBEsol.

Formation enthalpy at 0 K, eV/atom: 0.236
Symmetry: P3m1
Crystal system: trigonal

a b c (Å): 3.0430 3.0430 7.7993
angles (deg): 90.00 90.00 120.00
Fractional coordinates of all 3 atoms:
K1 0.0000 0.0000 0.0000
Hg1 0.6667 0.3333 0.3736
Pt1 0.3333 0.6667 0.6703


# 7
Here is a geometry-optimized BaLiAlF6 structure from Alexandria via LeMat-Bulk. Energies are from GGA-PBEsol.

Uncorrected formation energy, eV/atom: -3.599
Symmetry: P2_1/c
Crystal system: monoclinic

a b c (Å): 5.3438 10.1076 8.4578
angles (deg): 90.00 90.76 90.00
Fractional coordinates of all 36 atoms:
Ba1 0.1997 0.1877 0.4962
Ba2 0.1997 0.3123 0.9962
Ba3 0.8003 0.6877 0.0038
Ba4 0.8003 0.8123 0.5038
Li1 0.2625 0.5851 0.3237
Li2 0.2625 0.9149 0.8237
Li3 0.7375 0.0851 0.1763
Li4 0.7375 0.4149 0.6763
Al1 0.2634 0.5867 0.7324
Al2 0.2634 0.9133 0.2324
Al3 0.7366 0.0867 0.7676
Al4 0.7366 0.4133 0.2676
F1 0.0273 0.0075 0.7058
F2 0.0273 0.4925 0.2058
F3 0.1140 0.7490 0.7598
F4 0.1140 0.7510 0.2598
F5 0.1668 0.6008 0.5303
F6 0.1668 0.8992 0.0303
F7 0.3340 0.5901 0.9445
F8 0.3340 0.9099 0.4445
F9 0.3892 0.0802 0.2078
F10 0.3892 0.4198 0.7078
F11 0.4324 0.1542 0.8032
F12 0.4324 0.3458 0.3032
F13 0.5676 0.6542 0.6968
F14 0.5676 0.8458 0.1968
F15 0.6108 0.5802 0.2922
F16 0.6108 0.9198 0.7922
F17 0.6660 0.0901 0.5555
F18 0.6660 0.4099 0.0555
F19 0.8332 0.1008 0.9697
F20 0.8332 0.3992 0.4697
F21 0.8860 0.2490 0.7402
F22 0.8860 0.2510 0.2402
F23 0.9727 0.5075 0.7942
F24 0.9727 0.9925 0.2942


# 8
Here is a geometry-optimized BaNiF4 structure from Alexandria via LeMat-Bulk. Energies are from GGA-PBEsol.

Uncorrected formation energy, eV/atom: -2.754
Symmetry: Cmc2_1
Crystal system: orthorhombic

a b c (Å): 7.4511 7.4511 5.7772
angles (deg): 90.00 90.00 147.69
Fractional coordinates of all 12 atoms:
Ba1 0.1433 0.8567 0.5000
Ba2 0.8567 0.1433 0.0000
Ni1 0.4120 0.5880 0.4604
Ni2 0.5880 0.4120 0.9604
F1 0.0757 0.9243 0.9543
F2 0.3009 0.6991 0.2622
F3 0.3319 0.6681 0.7303
F4 0.4724 0.5276 0.1428
F5 0.5276 0.4724 0.6428
F6 0.6681 0.3319 0.2303
F7 0.6991 0.3009 0.7622
F8 0.9243 0.0757 0.4543


# 9
Here is a geometry-optimized CuNiIr structure from Alexandria via LeMat-Bulk. Energies are from GGA-PBEsol.

Formation enthalpy at 0 K, eV/atom: 0.137
Symmetry: Imm2
Crystal system: orthorhombic

a b c (Å): 2.5965 3.6011 7.7563
angles (deg): 90.00 90.00 90.00
Fractional coordinates of all 6 atoms:
Cu1 0.0000 0.0000 0.0000
Cu2 0.5000 0.5000 0.5000
Ni1 0.0000 0.0000 0.3353
Ni2 0.5000 0.5000 0.8353
Ir1 0.0000 0.0000 0.6713
Ir2 0.5000 0.5000 0.1713


# 10
Here is a geometry-optimized ScAgTe2 structure from Alexandria via LeMat-Bulk. Energies are from GGA-PBEsol.

Uncorrected formation energy, eV/atom: -0.697
Symmetry: R-3m
Crystal system: trigonal

a b c (Å): 4.1463 4.1463 20.5318
angles (deg): 90.00 90.00 120.00
Fractional coordinates of all 12 atoms:
Sc1 0.0000 0.0000 0.0000
Sc2 0.3333 0.6667 0.6667
Sc3 0.6667 0.3333 0.3333
Ag1 0.0000 0.0000 0.5000
Ag2 0.3333 0.6667 0.1667
Ag3 0.6667 0.3333 0.8333
Te1 0.0000 0.0000 0.2513
Te2 0.0000 0.0000 0.7487
Te3 0.3333 0.6667 0.4153
Te4 0.3333 0.6667 0.9180
Te5 0.6667 0.3333 0.0820
Te6 0.6667 0.3333 0.5847


# 11
Here is a geometry-optimized RbYAl3 structure from Alexandria via LeMat-Bulk. Energies are from GGA-PBEsol.

Formation enthalpy at 0 K, eV/atom: 1.394
Symmetry: Pm-3m
Crystal system: cubic

a b c (Å): 5.2793 5.2793 5.2793
angles (deg): 90.00 90.00 90.00
Fractional coordinates of all 5 atoms:
Rb1 0.0000 0.0000 0.0000
Y1 0.5000 0.5000 0.5000
Al1 0.0000 0.0000 0.5000
Al2 0.0000 0.5000 0.0000
Al3 0.5000 0.0000 0.0000


# 12
Here is a geometry-optimized Mn3HF structure from Alexandria via LeMat-Bulk. Energies are from GGA-PBEsol.

Uncorrected energy, eV per formula unit: -32.91
Symmetry: Pm-3m
Crystal system: cubic

a b c (Å): 3.8456 3.8456 3.8456
angles (deg): 90.00 90.00 90.00
Fractional coordinates of all 5 atoms:
Mn1 0.0000 0.0000 0.5000
Mn2 0.0000 0.5000 0.0000
Mn3 0.5000 0.0000 0.0000
H1 0.0000 0.0000 0.0000
F1 0.5000 0.5000 0.5000